[1]
! DyHo2Ni2B2N3 (PBE, optimized geometry); values from VASP
&SYSTEM
  ibrav = 0, nat = 10, ntyp = 5
/
ATOMIC_SPECIES
Ni 58.69 Ni.upf
B 10.81 B.upf
Dy 162.50 Dy.upf
N 14.01 N.upf
Ho 164.93 Ho.upf
CELL_PARAMETERS angstrom
-3.2328 8.5382 4.7670
-7.1900 6.9945 2.3360
4.5418 -9.1019 -1.6135
ATOMIC_POSITIONS crystal
Ni 0.2500 0.7500 0.5000
B 0.8106 0.8106 0.0000
Dy 0.0000 0.0000 0.0000
N 0.1167 0.1167 0.0000
Ho 0.6231 0.6231 0.0000
Ho 0.3769 0.3769 0.0000
N 0.8833 0.8833 0.0000
B 0.1894 0.1894 0.0000
N 0.5000 0.5000 0.0000
Ni 0.7500 0.2500 0.5000
! Uncorrected energy ... -7.557 eV per atom

[2]
! DyHoB2Pd2N2 (PBE, optimized geometry); values from VASP
&SYSTEM
  ibrav = 0, nat = 8, ntyp = 5
/
ATOMIC_SPECIES
B 10.81 B.upf
Pd 106.42 Pd.upf
Dy 162.50 Dy.upf
Ho 164.93 Ho.upf
N 14.01 N.upf
CELL_PARAMETERS angstrom
-0.9990 3.3933 1.0654
-2.9036 -0.1391 -2.2798
-4.2283 -2.9930 5.5679
ATOMIC_POSITIONS crystal
B 0.0000 0.0000 0.6743
Pd 0.5000 0.0000 0.5004
B 0.5000 0.5000 0.3252
Dy 0.0000 0.0000 0.1622
Ho 0.5000 0.5000 0.8382
Pd 0.0000 0.5000 0.5004
N 0.0000 0.0000 0.8621
N 0.5000 0.5000 0.1372
! Uncorrected energy ... -7.246 eV per atom